Entry 1:
Below is crystalline LiPrI2 at its relaxed geometry, with properties calculated at the PBE level.

Unit cell a=4.0076 b=4.0076 c=8.7834 alpha=76.81 beta=76.81 gamma=60.00
Atoms (fractional coordinates):
I (0.7380, 0.7380, 0.7860)
I (0.2620, 0.2620, 0.2140)
Li (0.0000, 0.0000, 0.0000)
Pr (0.5000, 0.5000, 0.5000)

Output
uncorrected formation energy: -23.22 kcal/mol of atoms
Fermi-level density of states: 0.77 states/eV per cell
total energy: -3.455 eV/atom
space group: No. 166

Entry 2:
Below is crystalline Tb2Tl3VSe6 at its relaxed geometry, with properties calculated at the PBE level.

Unit cell a=7.0323 b=7.0323 c=8.0774 alpha=98.41 beta=98.41 gamma=119.81
Each line ends with the local moment (μB).
Atoms (fractional coordinates):
Tl (0.8263, 0.1737, 0.5000)  0.00
Tl (0.1737, 0.8263, 0.5000)  0.00
Tl (0.5000, 0.5000, 0.5000)  -0.01
Tb (0.3342, 0.6658, 0.0000)  0.01
Tb (0.6658, 0.3342, 0.0000)  0.01
V (0.0000, 0.0000, 0.0000)  1.98
Se (0.7586, 0.7586, 0.2045)  -0.03
Se (0.9343, 0.6267, 0.8035)  -0.03
Se (0.6267, 0.9343, 0.8035)  -0.03
Se (0.0657, 0.3733, 0.1965)  -0.03
Se (0.2414, 0.2414, 0.7955)  -0.03
Se (0.3733, 0.0657, 0.1965)  -0.03

Output
uncorrected formation energy: -24.68 kcal/mol of atoms
Fermi-level density of states: 7.31 states/eV per cell
total energy: -4.936 eV/atom
space group: No. 12

Entry 3:
Below is crystalline Er2ThZr2Sc5 at its relaxed geometry, with properties calculated at the PBE level.

Unit cell a=4.9941 b=10.3250 c=10.3250 alpha=90.00 beta=90.00 gamma=90.00
Atoms (fractional coordinates):
Sc (0.5000, 0.6942, 0.4022)
Sc (0.5000, 0.4022, 0.3058)
Sc (0.5000, 0.5978, 0.6942)
Sc (0.5000, 0.8058, 0.9022)
Sc (0.5000, 0.1942, 0.0978)
Sc (0.5000, 0.0000, 0.5000)
Sc (0.5000, 0.9022, 0.1942)
Sc (0.5000, 0.0978, 0.8058)
Sc (0.5000, 0.5000, 0.0000)
Sc (0.5000, 0.3058, 0.5978)
Er (0.0000, 0.1683, 0.3317)
Er (0.0000, 0.8317, 0.6683)
Er (0.0000, 0.3317, 0.8317)
Er (0.0000, 0.6683, 0.1683)
Th (0.0000, 0.5000, 0.5000)
Th (0.0000, 0.0000, 0.0000)
Zr (0.0000, 0.6313, 0.8687)
Zr (0.0000, 0.3687, 0.1313)
Zr (0.0000, 0.8687, 0.3687)
Zr (0.0000, 0.1313, 0.6313)

Output
Fermi-level density of states: 28.22 states/eV per cell
total energy: -6.373 eV/atom
formation enthalpy at 0 K: 1.57 eV/f.u.
space group: No. 127

Entry 4:
Below is crystalline SiIr2Au at its relaxed geometry, with properties calculated at the PBE level.

Unit cell a=3.8266 b=3.8266 c=9.3999 alpha=78.26 beta=78.26 gamma=90.00
Atoms (fractional coordinates):
Au (0.0000, 0.0000, 0.0000)
Au (0.7500, 0.2500, 0.5000)
Si (0.5000, 0.5000, 0.0000)
Si (0.2500, 0.7500, 0.5000)
Ir (0.1450, 0.6250, 0.2500)
Ir (0.6050, 0.1250, 0.2500)
Ir (0.3750, 0.3950, 0.7500)
Ir (0.8750, 0.8550, 0.7500)

Output
uncorrected formation energy: 9.51 kcal/mol of atoms
Fermi-level density of states: 7.43 states/eV per cell
total energy: -6.193 eV/atom
space group: No. 122

Entry 5:
Below is crystalline Cd3SnRh at its relaxed geometry, with properties calculated at the PBE level.

Unit cell a=5.1429 b=5.1429 c=5.1429 alpha=90.00 beta=90.00 gamma=90.00
Atoms (fractional coordinates):
Cd (0.0000, 0.0000, 0.5000)
Cd (0.5000, 0.0000, 0.0000)
Cd (0.0000, 0.5000, 0.0000)
Rh (0.0000, 0.0000, 0.0000)
Sn (0.5000, 0.5000, 0.5000)

Output
polymorph energy (0 for the lowest one): 1.64 eV per formula unit
Fermi-level density of states: 3.81 states/eV per cell
total energy: -2.547 eV/atom
formation enthalpy at 0 K: 1.36 eV/f.u.
space group: No. 221

Entry 6:
Below is crystalline ScTlSb2 at its relaxed geometry, with properties calculated at the PBE level.

Unit cell a=3.9986 b=3.8611 c=8.0006 alpha=61.20 beta=90.00 gamma=90.00
Atoms (fractional coordinates):
Sb (0.0000, 0.5423, 0.4578)
Sb (0.0000, 0.9577, 0.0422)
Sc (0.5000, 0.2500, 0.2500)
Tl (0.5000, 0.7500, 0.7500)

Output
uncorrected formation energy: -8.34 kcal/mol of atoms
polymorph energy (0 for the lowest one): 0.00 eV per formula unit
Fermi-level density of states: 3.01 states/eV per cell
total energy: -4.597 eV/atom
space group: No. 10